CaLa6In5 after structural relaxation, computed with PBE-GGA.

Calculated values
energy of formation from the pure elements: -9.813 kcal/mol of atoms
crystal system: orthorhombic
SG: No. 71

Cell: 9.835 9.835 9.835 Å, 146.57 132.70 59.15°
Fractional coordinates of all 12 atoms:
Ca1 0.000 0.000 0.000
La1 0.082 0.825 0.257
La2 0.271 0.500 0.771
La3 0.433 0.175 0.257
La4 0.567 0.825 0.743
La5 0.729 0.500 0.229
La6 0.918 0.175 0.743
In1 0.150 0.650 0.500
In2 0.333 0.333 0.000
In3 0.500 0.000 0.500
In4 0.667 0.667 0.000
In5 0.850 0.350 0.500

Ni4TeRu after structural relaxation, computed with PBE-GGA.

Calculated values
crystal system: cubic
raw formation energy: 0.27 eV per atom
SG: No. 216

Cell: 4.816 4.816 4.816 Å, 60.00 60.00 60.00°
Fractional coordinates of all 6 atoms:
Ni1 0.124 0.124 0.124
Ni2 0.124 0.124 0.628
Ni3 0.124 0.628 0.124
Ni4 0.628 0.124 0.124
Te1 0.500 0.500 0.500
Ru1 0.750 0.750 0.750

Rb2NiGePd after structural relaxation, computed with PBE-GGA.

Calculated values
energy of formation from the pure elements: 18.311 kcal/mol of atoms
crystal system: tetragonal
relative energy among the computed polymorphs: 222 meV/atom
SG: No. 123

Cell: 6.411 6.411 4.608 Å, 90.00 90.00 90.00°
Fractional coordinates of all 5 atoms:
Rb1 0.000 0.500 0.000
Rb2 0.500 0.000 0.000
Ni1 0.000 0.000 0.000
Ge1 0.500 0.500 0.500
Pd1 0.000 0.000 0.500

| no. | volume (A^3/atom) |
| --- | --- |
| 1 | 31.82 |
| 2 | 13.16 |
| 3 | 37.88 |